(1)
A relaxed structure of ZrTe2Rh. Source: Alexandria via LeMat-Bulk, functional GGA-PBE.

**Crystal system**: tetragonal
**ΔE_f (raw)**: -0.187 eV per atom
**Density of states at the Fermi level**: 8.5 states/eV per cell
**Calculated density**: 6.18 Mg/m³

```
ZrTe2Rh
1.0
-0.942 -3.010 -5.427
6.089 -1.505 -0.222
1.406 -7.433 0.249
Te Rh Zr
4 2 2
Cartesian
2.807 -7.224 -1.925
4.067 -3.087 -0.596
5.737 -9.570 -4.763
0.496 -4.015 -3.516
0.000 0.000 0.000
1.519 -6.350 -4.001
5.035 -5.598 -1.399
2.574 -2.257 -2.824
```

(2)
A relaxed structure of Pr6Er4Sc. Source: Alexandria via LeMat-Bulk, functional GGA-PBE.

**Crystal system**: tetragonal
**Density of states at the Fermi level**: 15.8 states/eV per cell
**DFT formation energy**: 3.066 eV/f.u.
**Calculated density**: 6.87 Mg/m³

```
Pr6Er4Sc
1.0
-9.592 -0.968 -2.221
7.279 -4.562 4.907
6.009 4.512 6.434
Pr Sc Er
6 1 4
Cartesian
8.701 -1.647 6.962
-1.791 1.772 2.107
8.250 1.583 7.506
3.763 -0.372 5.335
-3.730 -0.633 0.658
-1.157 -2.765 1.343
0.000 0.000 0.000
4.779 -2.900 3.249
3.972 2.867 4.220
7.039 -0.665 9.800
1.195 -0.370 3.193
```

(3)
A relaxed structure of LiNbGa2. Source: Alexandria via LeMat-Bulk, functional GGA-PBE.

**Crystal system**: tetragonal
**Density of states at the Fermi level**: 0.2 states/eV per cell
**DFT formation energy**: 1.148 eV/f.u.
**Calculated density**: 5.57 Mg/m³

```
LiNbGa2
1.0
3.971 0.000 0.000
0.000 3.971 0.000
1.985 1.985 9.048
Ga Li Nb
4 2 2
Cartesian
2.989 0.993 2.262
0.982 2.978 2.262
4.963 4.974 6.786
2.978 2.967 6.786
1.985 1.985 0.000
1.985 3.971 4.524
0.000 0.000 0.000
3.971 1.985 4.524
```

Number 3 is which compound? LiNbGa2

Repeat the third record exactly.
A relaxed structure of LiNbGa2. Source: Alexandria via LeMat-Bulk, functional GGA-PBE.

**Crystal system**: tetragonal
**Density of states at the Fermi level**: 0.2 states/eV per cell
**DFT formation energy**: 1.148 eV/f.u.
**Calculated density**: 5.57 Mg/m³

```
LiNbGa2
1.0
3.971 0.000 0.000
0.000 3.971 0.000
1.985 1.985 9.048
Ga Li Nb
4 2 2
Cartesian
2.989 0.993 2.262
0.982 2.978 2.262
4.963 4.974 6.786
2.978 2.967 6.786
1.985 1.985 0.000
1.985 3.971 4.524
0.000 0.000 0.000
3.971 1.985 4.524
```